Computed, not measured: crystalline Tb4PmRu4 at its relaxed geometry at the PBE-GGA level of DFT.

a b c (Å): 5.5976 8.8499 8.8499
angles (deg): 90.00 90.00 90.00
With the nearest neighbours (Å) after each atom.
Atoms (fractional coordinates):
Tb1 0.6229 0.0745 0.3146  5 Ru 2.79-3.12
Tb2 0.3771 0.3146 0.9255  5 Ru 2.79-3.12
Tb3 0.6229 0.9255 0.6854  5 Ru 2.79-3.12
Tb4 0.8771 0.5745 0.8146  5 Ru 2.79-3.12
Tb5 0.3771 0.6854 0.0745  5 Ru 2.79-3.12
Tb6 0.1229 0.8146 0.4255  5 Ru 2.79-3.12
Tb7 0.1229 0.1854 0.5745  5 Ru 2.79-3.12
Tb8 0.8771 0.4255 0.1854  5 Ru 2.79-3.12
Ru1 0.8668 0.7358 0.1283  1 Ru 2.53, 1 Pm 2.70, 2 Tb 2.79-2.82
Ru2 0.1332 0.8717 0.7358  1 Ru 2.53, 1 Pm 2.70, 2 Tb 2.79-2.82
Ru3 0.1332 0.1283 0.2642  1 Ru 2.53, 1 Pm 2.70, 2 Tb 2.79-2.82
Ru4 0.3668 0.6283 0.7642  1 Ru 2.53, 1 Pm 2.70, 2 Tb 2.79-2.82
Ru5 0.6332 0.2358 0.6283  1 Ru 2.53, 1 Pm 2.70, 2 Tb 2.79-2.82
Ru6 0.6332 0.7642 0.3717  1 Ru 2.53, 1 Pm 2.70, 2 Tb 2.79-2.82
Ru7 0.8668 0.2642 0.8717  1 Ru 2.53, 1 Pm 2.70, 2 Tb 2.79-2.82
Ru8 0.3668 0.3717 0.2358  1 Ru 2.53, 1 Pm 2.70, 2 Tb 2.79-2.82
Pm1 0.0000 0.0000 0.0000  4 Ru 2.70
Pm2 0.5000 0.5000 0.5000  4 Ru 2.70

ρ, g/cm3: 9.0
Calculated volume, Å³/cell: 438.4
Formation energy from the elements, eV per atom: -0.0531
Space-group type: P4_2/n
Magnetization, μB per formula unit: 0.00

---

Computed, not measured: crystalline Sm2DyErTm2 at its relaxed geometry at the PBE-GGA level of DFT.

a b c (Å): 3.5054 6.0720 18.1184
angles (deg): 90.00 90.00 90.00
With the nearest neighbours (Å) after each atom.
Atoms (fractional coordinates):
Er1 0.0000 0.0000 0.0000  2 Tm 3.48, 4 Sm 3.48, 2 Er 3.51, 4 Dy 3.51
Er2 0.5000 0.5000 0.5000  2 Tm 3.48, 4 Sm 3.48, 2 Er 3.51, 4 Dy 3.51
Dy1 0.5000 0.5000 0.0000  2 Sm 3.47, 4 Tm 3.48, 2 Dy 3.51, 4 Er 3.51
Dy2 0.0000 0.0000 0.5000  2 Sm 3.47, 4 Tm 3.48, 2 Dy 3.51, 4 Er 3.51
Tm1 0.0000 0.3338 0.1560  5 Sm 3.41-3.51, 2 Dy 3.48, 1 Er 3.48, 2 Tm 3.51
Tm2 0.5000 0.8338 0.3440  5 Sm 3.41-3.51, 2 Dy 3.48, 1 Er 3.48, 2 Tm 3.51
Tm3 0.0000 0.6662 0.8440  5 Sm 3.41-3.51, 2 Dy 3.48, 1 Er 3.48, 2 Tm 3.51
Tm4 0.5000 0.1662 0.6560  5 Sm 3.41-3.51, 2 Dy 3.48, 1 Er 3.48, 2 Tm 3.51
Sm1 0.0000 0.3325 0.3440  5 Tm 3.41-3.51, 1 Dy 3.47, 2 Er 3.48, 2 Sm 3.51
Sm2 0.5000 0.1675 0.8440  5 Tm 3.41-3.51, 1 Dy 3.47, 2 Er 3.48, 2 Sm 3.51
Sm3 0.5000 0.8325 0.1560  5 Tm 3.41-3.51, 1 Dy 3.47, 2 Er 3.48, 2 Sm 3.51
Sm4 0.0000 0.6675 0.6560  5 Tm 3.41-3.51, 1 Dy 3.47, 2 Er 3.48, 2 Sm 3.51

ρ, g/cm3: 8.3
Calculated volume, Å³/cell: 385.6
Formation energy from the elements, eV per atom: 0.1049
Space-group type: Pnnm
Magnetization, μB per formula unit: 0.00

---

Computed, not measured: crystalline Li4In2HgBi2 at its relaxed geometry at the PBE-GGA level of DFT.

a b c (Å): 6.7045 6.7045 6.7045
angles (deg): 89.43 120.33 120.33
With the nearest neighbours (Å) after each atom.
Atoms (fractional coordinates):
Li1 0.0000 0.2790 0.7210  1 Hg 2.63, 2 In 2.89
Li2 0.5579 0.2790 0.2790  1 Hg 2.63, 2 In 2.89
Li3 0.0000 0.7210 0.2790  1 Hg 2.63, 2 In 2.89
Li4 0.4421 0.7210 0.7210  1 Hg 2.63, 2 In 2.89
Hg1 0.0000 0.0000 0.0000  4 Li 2.63, 2 In 2.77
Bi1 0.5000 0.2500 0.7500  4 In 3.36, 8 Li 3.36
Bi2 0.5000 0.7500 0.2500  4 In 3.36, 8 Li 3.36
In1 0.0000 0.7094 0.7094  1 Hg 2.77, 4 Li 2.89
In2 0.0000 0.2906 0.2906  1 Hg 2.77, 4 Li 2.89

ρ, g/cm3: 6.9
Calculated volume, Å³/cell: 212.0
Formation energy from the elements, eV per atom: -0.2132
Space-group type: I4/mmm
Magnetization, μB per formula unit: 0.00

---

Computed, not measured: crystalline CeNp3S4 at its relaxed geometry at the PBE-GGA level of DFT.

a b c (Å): 3.9253 6.8059 6.8059
angles (deg): 70.48 90.00 90.00
With the nearest neighbours (Å) after each atom.
Atoms (fractional coordinates):
Np1 0.9999 0.5001 0.5000  6 S 2.78
Np2 0.9999 0.0001 0.0000  6 S 2.78
Np3 0.5000 0.0001 0.5000  6 S 2.72-2.73
S1 0.0000 0.7588 0.7413  4 Np 2.73-2.78, 2 Ce 2.82
S2 0.4999 0.7551 0.2550  5 Np 2.72-2.78, 1 Ce 2.84
S3 0.0000 0.2415 0.2586  4 Np 2.73-2.78, 2 Ce 2.82
S4 0.4999 0.2451 0.7450  5 Np 2.72-2.78, 1 Ce 2.84
Ce1 0.5000 0.5001 0.0000  6 S 2.82-2.84

ρ, g/cm3: 9.5
Calculated volume, Å³/cell: 171.4
Formation energy without anion corrections, eV/atom: -1.544
Space-group type: Cmmm
Magnetization, μB per formula unit: 12.74
Excess energy over the best structure of this formula in the dataset, kJ per mole of atoms: 0.0

---

Computed, not measured: crystalline PaAgC2O8 at its relaxed geometry at the PBE-GGA level of DFT.

a b c (Å): 4.9060 4.9060 7.1142
angles (deg): 95.72 95.72 65.71
With the nearest neighbours (Å) after each atom.
Atoms (fractional coordinates):
Pa1 0.0000 0.0000 0.0000  6 O 2.12-2.22
Ag1 0.0000 0.0000 0.5000  2 O 2.10
C1 0.6644 0.6644 0.2459  4 O 1.38-1.40
C2 0.3356 0.3356 0.7541  4 O 1.38-1.40
O1 0.6485 0.2182 0.7772  1 C 1.40
O2 0.7707 0.7707 0.1060  1 C 1.40
O3 0.3515 0.7818 0.2228  1 C 1.40
O4 0.2182 0.6485 0.7772  1 C 1.40
O5 0.7818 0.3515 0.2228  1 C 1.40
O6 0.7454 0.7454 0.4266  1 C 1.38
O7 0.2293 0.2293 0.8940  1 C 1.40
O8 0.2546 0.2546 0.5734  1 C 1.38

ρ, g/cm3: 5.3
Calculated volume, Å³/cell: 155.0
Formation energy without anion corrections, eV/atom: -1.434
Space-group type: C2/m
Magnetization, μB per formula unit: 1.94

---

Computed, not measured: crystalline Tc3BPd at its relaxed geometry at the PBE-GGA level of DFT.

a b c (Å): 4.0947 4.0947 4.0947
angles (deg): 90.00 90.00 90.00
With the nearest neighbours (Å) after each atom.
Atoms (fractional coordinates):
Tc1 0.0000 0.5000 0.0000  2 B 2.05
Tc2 0.0000 0.0000 0.5000  2 B 2.05
Tc3 0.5000 0.0000 0.0000  2 B 2.05
B1 0.0000 0.0000 0.0000  6 Tc 2.05
Pd1 0.5000 0.5000 0.5000  12 Tc 2.90

ρ, g/cm3: 9.9
Calculated volume, Å³/cell: 68.7
Formation energy from the elements, eV per atom: 0.1984
Space-group type: Pm-3m
Magnetization, μB per formula unit: 0.00
Excess energy over the best structure of this formula in the dataset, kJ per mole of atoms: 0.0